# 1
Material: Tb5Pr6Er
Method: DFT, PBE-GGA
State: relaxed

- M_tot: 0.0 μB/f.u.
- VASP energy: -56.26 eV per cell
- SG: C2/m
- Polymorph energy (0 for the lowest one): 0.0000 eV/atom
- Formation energy from the elements: 0.01 eV/atom
- DOS at the Fermi energy: 13.63 states/eV per cell
- Crystal system: monoclinic

```
Tb5Pr6Er
1.0
-8.741 -3.986 7.046
3.333 -1.561 5.133
0.968 4.267 4.555
Tb Pr Er
5 6 1
Direct
0.500 0.167 0.667
0.000 0.333 0.333
0.500 0.500 0.000
0.000 0.667 0.667
0.500 0.833 0.333
0.751 0.084 0.333
0.249 0.583 0.333
0.250 0.249 0.000
0.750 0.751 0.000
0.751 0.417 0.667
0.249 0.916 0.667
0.000 0.000 0.000
```



# 2
Material: Mn5SnI12
Method: DFT, PBE-GGA
State: relaxed

- Energy relative to the elements, uncorrected: -0.439 eV per atom
- M_tot: 25.0 μB/f.u.
- VASP energy: -76.35 eV per cell
- SG: C2/m
- Crystal system: monoclinic

```
Mn5SnI12
1.0
-4.595 -0.409 5.692
-5.350 -5.014 0.036
9.355 -9.951 6.872
Mn Sn I
5 1 12
Direct
0.500 0.000 0.500
0.166 0.667 0.500
0.834 0.333 0.500
0.667 0.667 0.000
0.333 0.333 0.000
0.000 0.000 0.000
0.834 0.000 0.394
0.166 0.000 0.606
0.640 0.000 0.887
0.360 0.000 0.113
0.361 0.639 0.887
0.000 0.639 0.113
0.000 0.361 0.887
0.639 0.361 0.113
0.499 0.333 0.606
0.833 0.667 0.606
0.167 0.333 0.394
0.501 0.667 0.394
```



# 3
Material: TbCoSi
Method: DFT, PBE-GGA
State: relaxed

- Energy relative to the elements, uncorrected: -0.371 eV per atom
- M_tot: 0.7 μB/f.u.
- VASP energy: -36.55 eV per cell
- SG: Pmma
- DOS at the Fermi energy: 3.87 states/eV per cell
- Crystal system: orthorhombic

```
TbCoSi
1.0
-1.004 -3.987 1.110
2.308 0.442 3.675
-4.861 2.008 2.811
Tb Si Co
2 2 2
Direct
0.500 0.750 0.739
0.500 0.250 0.261
0.000 0.250 0.642
0.000 0.750 0.358
0.000 0.000 0.000
0.000 0.500 0.000
```



# 4
Material: GaNiBi3
Method: DFT, PBE-GGA
State: relaxed

- M_tot: 0.0 μB/f.u.
- VASP energy: -18.79 eV per cell
- SG: Pm-3m
- Polymorph energy (0 for the lowest one): 0.0000 eV/atom
- Formation energy from the elements: 0.33 eV/atom
- DOS at the Fermi energy: 6.04 states/eV per cell
- Crystal system: cubic

```
GaNiBi3
1.0
-0.878 1.291 -4.977
4.274 -2.625 -1.435
-2.860 -4.319 -0.616
Ni Bi Ga
1 3 1
Direct
0.000 0.000 0.000
0.000 0.500 0.000
0.000 0.000 0.500
0.500 0.000 0.000
0.500 0.500 0.500
```



Copy entry 2 word for word.
Material: Mn5SnI12
Method: DFT, PBE-GGA
State: relaxed

- Energy relative to the elements, uncorrected: -0.439 eV per atom
- M_tot: 25.0 μB/f.u.
- VASP energy: -76.35 eV per cell
- SG: C2/m
- Crystal system: monoclinic

```
Mn5SnI12
1.0
-4.595 -0.409 5.692
-5.350 -5.014 0.036
9.355 -9.951 6.872
Mn Sn I
5 1 12
Direct
0.500 0.000 0.500
0.166 0.667 0.500
0.834 0.333 0.500
0.667 0.667 0.000
0.333 0.333 0.000
0.000 0.000 0.000
0.834 0.000 0.394
0.166 0.000 0.606
0.640 0.000 0.887
0.360 0.000 0.113
0.361 0.639 0.887
0.000 0.639 0.113
0.000 0.361 0.887
0.639 0.361 0.113
0.499 0.333 0.606
0.833 0.667 0.606
0.167 0.333 0.394
0.501 0.667 0.394
```



What is the M_tot in the first record? 0.0 μB/f.u.